## Be2FeRu (GGA-PBE)

Data for an optimized crystal structure of Be2FeRu.

Computed properties:
- Crystal system: tetragonal
- M_tot: 0.75 μB per atom
- Energy of formation: -0.1959 eV/atom

```
data_Be2FeRu
_chemical_formula_sum 'Be2 Fe1 Ru1'
_cell_length_a 3.7563
_cell_length_b 3.7563
_cell_length_c 2.9356
_cell_angle_alpha 90.00
_cell_angle_beta 90.00
_cell_angle_gamma 90.00
_symmetry_space_group_name_H-M 'P 4/m m m'
_symmetry_Int_Tables_number 123
_symmetry_space_group_name_Hall '-P 4 2'
loop_
_atom_site_label
_atom_site_type_symbol
_atom_site_fract_x
_atom_site_fract_y
_atom_site_fract_z
Be1 Be 0.0000 0.5000 0.0000
Fe1 Fe 0.0000 0.0000 0.5000
Ru1 Ru 0.5000 0.5000 0.5000
```

## Zn2TeBr (GGA-PBE)

Data for an optimized crystal structure of Zn2TeBr.

Computed properties:
- Formation energy from raw total energies: -1.8 kcal/mol of atoms
- Crystal system: tetragonal
- M_tot: 0.00 μB per atom

```
data_Zn2TeBr
_chemical_formula_sum 'Zn4 Te2 Br2'
_cell_length_a 3.8743
_cell_length_b 3.8743
_cell_length_c 15.3823
_cell_angle_alpha 90.00
_cell_angle_beta 90.00
_cell_angle_gamma 90.00
_symmetry_space_group_name_H-M 'I -4 m 2'
_symmetry_Int_Tables_number 119
_symmetry_space_group_name_Hall 'I -4 -2'
loop_
_atom_site_label
_atom_site_type_symbol
_atom_site_fract_x
_atom_site_fract_y
_atom_site_fract_z
Zn1 Zn 0.0000 0.0000 0.0000
Zn2 Zn 0.0000 0.5000 0.2500
Te1 Te 0.0000 0.0000 0.5000
Br1 Br 0.0000 0.5000 0.7500
```

## ReTe2PN (GGA-PBE)

Data for an optimized crystal structure of ReTe2PN.

Computed properties:
- Formation energy from raw total energies: 24.7 kcal/mol of atoms
- Crystal system: tetragonal
- M_tot: 0.09 μB per atom

```
data_ReTe2PN
_chemical_formula_sum 'Re1 Te2 P1 N1'
_cell_length_a 5.2400
_cell_length_b 5.2400
_cell_length_c 3.2441
_cell_angle_alpha 90.00
_cell_angle_beta 90.00
_cell_angle_gamma 90.00
_symmetry_space_group_name_H-M 'P 4/m m m'
_symmetry_Int_Tables_number 123
_symmetry_space_group_name_Hall '-P 4 2'
loop_
_atom_site_label
_atom_site_type_symbol
_atom_site_fract_x
_atom_site_fract_y
_atom_site_fract_z
Re1 Re 0.0000 0.0000 0.0000
Te1 Te 0.0000 0.5000 0.5000
P1 P 0.5000 0.5000 0.5000
N1 N 0.5000 0.5000 0.0000
```